This record from Alexandria describes a relaxed structure of Dy2ErHg2. The functional is GGA-PBE.

Calculated values
DOS at the Fermi energy in states/eV/f.u.: 4.5
Uncorrected energy in eV per cell: -32.6
Magnetic moment in Bohr magnetons per cell: 0.00
Theoretical density in kg/m3: 11121

a = 3.744 Å, b = 5.262 Å, c = 13.673 Å
α = 90.00°, β = 97.92°, γ = 90.00°
Space group P2_1/m (No. 11)
Symmetry-distinct sites (fractional):
Dy1 0.047 0.250 0.094
Dy2 0.235 0.250 0.471
Er1 0.146 0.750 0.293
Hg1 0.356 0.750 0.712
Hg2 0.452 0.250 0.903